[1]
## CsErSnS3 (PBE-GGA)

Data for crystalline CsErSnS3 at its relaxed geometry.

abc: 9.0570 9.0570 11.3746
angles: 90.00 90.00 154.74
Closest atoms and distances in Å follow each position.
Element x y z (fractional)
Cs 0.8116 0.1884 0.2500  2 S 3.28
Cs 0.1884 0.8116 0.7500  2 S 3.28
Er 0.5000 0.5000 0.0000  6 S 2.69-2.85
Er 0.5000 0.5000 0.5000  6 S 2.69-2.85
S 0.1030 0.8970 0.0064  2 Er 2.69, 1 Sn 2.77
S 0.5091 0.4909 0.2500  2 Sn 2.66, 2 Er 2.85
S 0.1030 0.8970 0.4936  2 Er 2.69, 1 Sn 2.77
S 0.8970 0.1030 0.5064  2 Er 2.69, 1 Sn 2.77
S 0.4909 0.5091 0.7500  2 Sn 2.66, 2 Er 2.85
S 0.8970 0.1030 0.9936  2 Er 2.69, 1 Sn 2.77
Sn 0.1092 0.8908 0.2500  4 S 2.66-2.77
Sn 0.8908 0.1092 0.7500  4 S 2.66-2.77

For the calculated total energy, the calculation gives -29.54 eV/f.u.

[2]
## TbHgBi (PBE-GGA)

Data for crystalline TbHgBi at its relaxed geometry.

abc: 5.2187 5.2187 5.2187
angles: 60.00 60.00 60.00
Closest atoms and distances in Å follow each position.
Element x y z (fractional)
Bi 0.0000 0.0000 0.0000  4 Hg 3.20, 4 Tb 3.20
Hg 0.2500 0.2500 0.2500  4 Bi 3.20
Tb 0.7500 0.7500 0.7500  4 Bi 3.20

For the calculated total energy, the calculation gives -9.31 eV/f.u.

[3]
## YMgCuSe3 (PBE-GGA)

Data for crystalline YMgCuSe3 at its relaxed geometry.

abc: 11.3065 3.9397 11.5252
angles: 90.00 90.00 90.00
Closest atoms and distances in Å follow each position.
Element x y z (fractional)
Cu 0.7559 0.0000 0.2143  4 Se 2.39-2.47
Cu 0.2559 0.0000 0.2857  4 Se 2.39-2.47
Cu 0.7441 0.5000 0.7143  4 Se 2.39-2.47
Cu 0.2441 0.5000 0.7857  4 Se 2.39-2.47
Mg 0.8147 0.5000 0.0069  5 Se 2.80-3.10
Mg 0.3147 0.5000 0.4931  5 Se 2.80-3.10
Mg 0.6853 0.0000 0.5069  5 Se 2.80-3.10
Mg 0.1853 0.0000 0.9931  5 Se 2.80-3.10
Se 0.6047 0.0000 0.0658  1 Cu 2.42
Se 0.9465 0.0000 0.1245  1 Cu 2.39
Se 0.2111 0.5000 0.1642  2 Cu 2.47
Se 0.7111 0.5000 0.3358  2 Cu 2.47
Se 0.4465 0.0000 0.3755  1 Cu 2.39
Se 0.1047 0.0000 0.4342  1 Cu 2.42
Se 0.8953 0.5000 0.5658  1 Cu 2.42
Se 0.5535 0.5000 0.6245  1 Cu 2.39
Se 0.2889 0.0000 0.6642  2 Cu 2.47
Se 0.7889 0.0000 0.8358  2 Cu 2.47
Se 0.0535 0.5000 0.8755  1 Cu 2.39
Se 0.3953 0.5000 0.9342  1 Cu 2.42
Y 0.4752 0.5000 0.1901  7 Se 2.84-3.15
Y 0.9752 0.5000 0.3099  7 Se 2.84-3.15
Y 0.0248 0.0000 0.6901  7 Se 2.84-3.15
Y 0.5248 0.0000 0.8099  7 Se 2.84-3.15

The distance to the lowest polymorph of the same formula is 39 meV per atom. For the calculated total energy, the calculation gives -28.86 eV/f.u.

[4]
## K3Mo2Cl9 (PBE-GGA)

Data for crystalline K3Mo2Cl9 at its relaxed geometry.

abc: 7.0964 7.0966 17.0853
angles: 90.00 90.00 120.00
Closest atoms and distances in Å follow each position.
Element x y z (fractional)
Cl 0.1290 0.3476 0.0900  1 Mo 2.41
Cl 0.2186 0.8710 0.0900  1 Mo 2.41
Cl 0.6523 0.7813 0.0900  1 Mo 2.41
Cl 0.5451 0.0010 0.2500  2 Mo 2.49
Cl 0.4558 0.4549 0.2500  2 Mo 2.49
Cl 0.9989 0.5441 0.2500  2 Mo 2.49
Cl 0.6523 0.7813 0.4100  1 Mo 2.41
Cl 0.2186 0.8710 0.4100  1 Mo 2.41
Cl 0.1290 0.3476 0.4100  1 Mo 2.41
Cl 0.8710 0.6524 0.5900  1 Mo 2.41
Cl 0.7814 0.1290 0.5900  1 Mo 2.41
Cl 0.3477 0.2187 0.5900  1 Mo 2.41
Cl 0.0011 0.4559 0.7500  2 Mo 2.49
Cl 0.5442 0.5451 0.7500  2 Mo 2.49
Cl 0.4549 0.9990 0.7500  2 Mo 2.49
Cl 0.3477 0.2187 0.9100  1 Mo 2.41
Cl 0.7814 0.1290 0.9100  1 Mo 2.41
Cl 0.8710 0.6524 0.9100  1 Mo 2.41
K 0.6667 0.3333 0.0651  6 Cl 3.26-3.31
K 0.0000 0.0000 0.2500  9 Cl 3.23-3.48
K 0.6667 0.3333 0.4349  6 Cl 3.26-3.31
K 0.3333 0.6667 0.5651  6 Cl 3.26-3.31
K 0.0000 0.0000 0.7500  9 Cl 3.23-3.48
K 0.3333 0.6667 0.9349  6 Cl 3.26-3.31
Mo 0.3334 0.6667 0.1696  6 Cl 2.41-2.49
Mo 0.3334 0.6667 0.3304  6 Cl 2.41-2.49
Mo 0.6666 0.3333 0.6696  6 Cl 2.41-2.49
Mo 0.6666 0.3333 0.8304  6 Cl 2.41-2.49

For the calculated total energy, the calculation gives -60.63 eV/f.u.